Entry from the Alexandria database: LiZrBeIr2 after structural relaxation (PBEsol). Values from VASP.

Output
- SG: No. 123
- E_form: 3.5 eV per formula unit
- Total DFT energy (no corrections): -31.23 eV/cell
- ρ: 11.41 g/cm³

Geometry as Quantum ESPRESSO input:
```
&SYSTEM
  ibrav = 0, nat = 5, ntyp = 4
/
ATOMIC_SPECIES
Li 6.94 Li.upf
Zr 91.22 Zr.upf
Be 9.01 Be.upf
Ir 192.22 Ir.upf
CELL_PARAMETERS angstrom
4.145 0.000 0.000
0.000 4.145 0.000
0.000 0.000 4.163
ATOMIC_POSITIONS crystal
Li 0.000 0.000 0.000
Zr 0.000 0.000 0.500
Be 0.500 0.500 0.500
Ir 0.000 0.500 0.000
Ir 0.500 0.000 0.000
```